# 1
# PBE-GGA Ti5VH4, optimized geometry
# **VASP energy**: -6.422 eV/atom
# **M_tot**: 0.0 μB/cell
data_Ti5VH4
_chemical_formula_sum 'Ti10 V2 H8'
_cell_length_a 14.089
_cell_length_b 2.769
_cell_length_c 5.488
_cell_angle_alpha 90.00
_cell_angle_beta 100.80
_cell_angle_gamma 90.00
_space_group_name_H-M_alt 'C 1 2/m 1'
_space_group_IT_number 12
_space_group_name_Hall '-C 2y'
loop_
_atom_site_label
_atom_site_fract_x
_atom_site_fract_y
_atom_site_fract_z
Ti1 0.000 0.000 0.000
Ti2 0.166 0.500 0.328
Ti3 0.173 0.500 0.842
V1 0.000 0.000 0.500
H1 0.017 0.500 0.275
H2 0.137 0.000 0.570

# 2
# PBE-GGA Ti3VH6, optimized geometry
# **VASP energy**: -5.659 eV/atom
# **M_tot**: 0.0 μB/cell
data_Ti3VH6
_chemical_formula_sum 'Ti12 V4 H24'
_cell_length_a 6.924
_cell_length_b 9.514
_cell_length_c 4.690
_cell_angle_alpha 90.00
_cell_angle_beta 90.00
_cell_angle_gamma 90.00
_space_group_name_H-M_alt 'C m c 21'
_space_group_IT_number 36
_space_group_name_Hall 'C 2c -2'
loop_
_atom_site_label
_atom_site_fract_x
_atom_site_fract_y
_atom_site_fract_z
Ti1 0.000 0.119 0.000
Ti2 0.234 0.377 0.008
V1 0.000 0.368 0.520
H1 0.000 0.294 0.174
H2 0.000 0.463 0.851
H3 0.140 0.247 0.745
H4 0.142 0.001 0.256